A relaxed structure of AcCeRh2. Source: the Alexandria database, functional PBE.

Cell and atoms, written as POSCAR:
```
AcCeRh2
1.0
-1.3681 1.8424 -2.7273
-3.0973 0.2782 1.7417
2.2849 6.2370 3.0672
Ac Rh Ce
1 2 1
Direct
0.5000 0.5000 0.5000
0.0000 0.0000 0.7921
0.0000 0.0000 0.2079
0.5000 0.5000 0.0000
```

Computed properties:
**ΔE to the lowest computed polymorph**: 76.3 meV/atom
**Energy of formation**: -0.630 eV/atom
**DFT total energy**: -6.82 eV per atom
**Space group**: P4/mmm (123)